Density functional theory data (PBE) for an optimized crystal structure of MgMn2Co.

Calculated values
E_form	0.13	eV per atom
total magnetization	1.0	μB per formula unit
energy above the most stable polymorph in this dataset	0	meV/atom
electronic total energy	-6.628	eV per atom

Cell: 2.9763 2.9763 6.1740 Å, 90.00 90.00 90.00°
Sites, in units of the cell vectors:
Mg  0.0000  0.0000  0.0000
Mn  0.0000  0.0000  0.4747
Mn  0.5000  0.5000  0.6854
Co  0.5000  0.5000  0.2626